Material: LiMoRh2
Method: DFT, PBEsol
State: relaxed

abc: 4.017 4.364 4.017
angles: 117.40 90.00 117.40
Element x y z (fractional)
Li 0.500 0.000 0.500
Rh 0.250 0.500 0.750
Rh 0.750 0.500 0.250
Mo 0.000 0.000 0.000

Calculated values
Relative energy among the computed polymorphs = 0.033 eV/atom
Crystal system = tetragonal
Electronic total energy = -30.48 eV per cell
DFT formation energy = -0.117 eV per atom